[1]
# BaMg2Ni (GGA-PBEsol, optimized geometry)
data_BaMg2Ni
_chemical_formula_sum 'Ba1 Mg2 Ni1'
_cell_length_a 4.2015
_cell_length_b 4.3109
_cell_length_c 5.4833
_cell_angle_alpha 90.00
_cell_angle_beta 90.00
_cell_angle_gamma 90.00
_symmetry_space_group_name_H-M 'P 1'
_symmetry_Int_Tables_number 1
_symmetry_space_group_name_Hall 'P 1'
loop_
_atom_site_label
_atom_site_type_symbol
_atom_site_fract_x
_atom_site_fract_y
_atom_site_fract_z
_atom_site_occupancy
Ba1 Ba 0.0000 0.0000 0.0000 1
Mg1 Mg 0.0000 0.5000 0.5000 1
Mg2 Mg 0.5000 0.0000 0.5000 1
Ni1 Ni 0.5000 0.5000 0.0000 1
# - symmetry = Pmmm
# - volume (Å³/cell) = 99
# - crystal system = orthorhombic
# - total energy (eV/atom) = -2.640

[2]
# TlCrW2 (GGA-PBEsol, optimized geometry)
data_TlCrW2
_chemical_formula_sum 'Tl1 Cr1 W2'
_cell_length_a 5.3077
_cell_length_b 5.3077
_cell_length_c 2.7753
_cell_angle_alpha 100.26
_cell_angle_beta 100.26
_cell_angle_gamma 118.48
_symmetry_space_group_name_H-M 'P 1'
_symmetry_Int_Tables_number 1
_symmetry_space_group_name_Hall 'P 1'
loop_
_atom_site_label
_atom_site_type_symbol
_atom_site_fract_x
_atom_site_fract_y
_atom_site_fract_z
_atom_site_occupancy
Tl1 Tl 0.0000 0.0000 0.0000 1
Cr1 Cr 0.5000 0.5000 0.0000 1
W1 W 0.0000 0.5000 0.5000 1
W2 W 0.5000 0.0000 0.5000 1
# - symmetry = C2/m
# - energy relative to the lowest polymorph listed for this composition (eV/atom) = 0.236
# - volume (Å³/cell) = 64
# - crystal system = monoclinic

[3]
# CrIrPb2 (GGA-PBEsol, optimized geometry)
data_CrIrPb2
_chemical_formula_sum 'Cr1 Ir1 Pb2'
_cell_length_a 3.0475
_cell_length_b 3.3522
_cell_length_c 8.1352
_cell_angle_alpha 90.00
_cell_angle_beta 90.00
_cell_angle_gamma 90.00
_symmetry_space_group_name_H-M 'P 1'
_symmetry_Int_Tables_number 1
_symmetry_space_group_name_Hall 'P 1'
loop_
_atom_site_label
_atom_site_type_symbol
_atom_site_fract_x
_atom_site_fract_y
_atom_site_fract_z
_atom_site_occupancy
Cr1 Cr 0.0000 0.0000 0.0000 1
Ir1 Ir 0.5000 0.5000 0.1386 1
Pb1 Pb 0.0000 0.0000 0.3868 1
Pb2 Pb 0.5000 0.5000 0.7578 1
# - symmetry = Pmm2
# - energy relative to the lowest polymorph listed for this composition (eV/atom) = 0.000
# - volume (Å³/cell) = 83
# - crystal system = orthorhombic

- volume of number 1 (BaMg2Ni)?
  99 Å³/cell

Repeat the third record exactly.
# CrIrPb2 (GGA-PBEsol, optimized geometry)
data_CrIrPb2
_chemical_formula_sum 'Cr1 Ir1 Pb2'
_cell_length_a 3.0475
_cell_length_b 3.3522
_cell_length_c 8.1352
_cell_angle_alpha 90.00
_cell_angle_beta 90.00
_cell_angle_gamma 90.00
_symmetry_space_group_name_H-M 'P 1'
_symmetry_Int_Tables_number 1
_symmetry_space_group_name_Hall 'P 1'
loop_
_atom_site_label
_atom_site_type_symbol
_atom_site_fract_x
_atom_site_fract_y
_atom_site_fract_z
_atom_site_occupancy
Cr1 Cr 0.0000 0.0000 0.0000 1
Ir1 Ir 0.5000 0.5000 0.1386 1
Pb1 Pb 0.0000 0.0000 0.3868 1
Pb2 Pb 0.5000 0.5000 0.7578 1
# - symmetry = Pmm2
# - energy relative to the lowest polymorph listed for this composition (eV/atom) = 0.000
# - volume (Å³/cell) = 83
# - crystal system = orthorhombic

- volume of number 1 (BaMg2Ni)?
  99 Å³/cell